1.
# Ba2AlCl PBEsol optimized geometry
# total moment = 1.88 μB/cell
# excess energy over the best structure of this formula in the dataset = 0 meV per atom
# theoretical density = 4.060 Mg/m³
data_Ba2AlCl
_space_group_name_H-M_alt 'P 1'
_space_group_IT_number 1
_space_group_name_Hall 'P 1'
_cell_length_a 5.7989
_cell_length_b 5.7989
_cell_length_c 5.7989
_cell_angle_alpha 60.00
_cell_angle_beta 60.00
_cell_angle_gamma 60.00
loop_
_atom_site_label
_atom_site_type_symbol
_atom_site_fract_x
_atom_site_fract_y
_atom_site_fract_z
_atom_site_occupancy
Ba1 Ba 0.2500 0.2500 0.2500 1
Ba2 Ba 0.7500 0.7500 0.7500 1
Al1 Al 0.0000 0.0000 0.0000 1
Cl1 Cl 0.5000 0.5000 0.5000 1

=====

2.
# BaAlCl PBEsol optimized geometry
# total moment = 0.00 μB/cell
# theoretical density = 3.383 Mg/m³
data_BaAlCl
_space_group_name_H-M_alt 'P 1'
_space_group_IT_number 1
_space_group_name_Hall 'P 1'
_cell_length_a 6.0852
_cell_length_b 6.0852
_cell_length_c 6.0852
_cell_angle_alpha 138.46
_cell_angle_beta 138.46
_cell_angle_gamma 60.19
loop_
_atom_site_label
_atom_site_type_symbol
_atom_site_fract_x
_atom_site_fract_y
_atom_site_fract_z
_atom_site_occupancy
Ba1 Ba 0.0000 0.0000 0.0000 1
Al1 Al 0.6765 0.6765 0.0000 1
Cl1 Cl 0.4384 0.4384 0.0000 1

=====

3.
# BaAl2Cl PBEsol optimized geometry
# total moment = 0.00 μB/cell
# theoretical density = 3.235 Mg/m³
data_BaAl2Cl
_space_group_name_H-M_alt 'P 1'
_space_group_IT_number 1
_space_group_name_Hall 'P 1'
_cell_length_a 7.3551
_cell_length_b 7.3329
_cell_length_c 4.1591
_cell_angle_alpha 73.84
_cell_angle_beta 73.26
_cell_angle_gamma 32.90
loop_
_atom_site_label
_atom_site_type_symbol
_atom_site_fract_x
_atom_site_fract_y
_atom_site_fract_z
_atom_site_occupancy
Ba1 Ba 0.0000 0.0000 0.0000 1
Al1 Al 0.0000 0.5000 0.5000 1
Al2 Al 0.5000 0.0000 0.0000 1
Cl1 Cl 0.5000 0.5000 0.5000 1

=====

Number 1: energy -13.1 eV/cell. Number 2: energy -10.2 eV/cell. Number 3: energy -14.3 eV/cell.